No. 1
Material: NaMg3Au
Method: DFT, meta-GGA SCAN
State: PBEsol geometry

Lattice parameters (Å, degrees): 5.145 5.145 5.145 90.00 90.00 90.00
Fractional positions:
Na: 0.000 0.000 0.000
Mg: 0.000 0.500 0.500
Mg: 0.500 0.000 0.500
Mg: 0.500 0.500 0.000
Au: 0.500 0.500 0.500

## Properties
Uncorrected energy (eV per atom): -17.96
Symmetry: Pm-3m

No. 2
Material: Zr2TaP
Method: DFT, meta-GGA SCAN
State: PBEsol geometry

Lattice parameters (Å, degrees): 4.839 4.839 4.870 104.42 104.42 41.17
Fractional positions:
Zr: 0.227 0.227 0.223
Zr: 0.773 0.773 0.777
Ta: 0.000 0.000 0.500
P: 0.500 0.500 0.000

## Properties
Uncorrected energy (eV per atom): -34.91
Symmetry: C2/m

No. 3
Material: P2OsPb
Method: DFT, meta-GGA SCAN
State: PBEsol geometry

Lattice parameters (Å, degrees): 4.400 3.926 4.662 90.00 105.76 90.00
Fractional positions:
P: 0.246 0.000 0.401
P: 0.754 0.000 0.599
Os: 0.000 0.500 0.500
Pb: 0.500 0.500 0.000

## Properties
Uncorrected energy (eV per atom): -42.04
Symmetry: P2/m

No. 4
Material: Zn2FeIr
Method: DFT, meta-GGA SCAN
State: PBEsol geometry

Lattice parameters (Å, degrees): 2.707 3.605 5.316 90.00 90.00 90.00
Fractional positions:
Zn: 0.000 0.000 0.000
Zn: 0.500 0.500 0.249
Fe: 0.000 0.000 0.507
Ir: 0.500 0.500 0.735

## Properties
Uncorrected energy (eV per atom): -29.16
Symmetry: Pmm2

No. 5
Material: SrMgCr3
Method: DFT, meta-GGA SCAN
State: PBEsol geometry

Lattice parameters (Å, degrees): 4.988 4.988 4.988 90.00 90.00 90.00
Fractional positions:
Sr: 0.000 0.000 0.000
Mg: 0.500 0.500 0.500
Cr: 0.000 0.000 0.500
Cr: 0.000 0.500 0.000
Cr: 0.500 0.000 0.000

## Properties
Uncorrected energy (eV per atom): -14.55
Symmetry: Pm-3m

No. 6
Material: BaNaSr3Sb3O12
Method: DFT, meta-GGA SCAN
State: PBEsol geometry

Lattice parameters (Å, degrees): 8.187 8.187 8.126 90.00 90.00 91.12
Fractional positions:
Ba: 0.002 0.998 0.750
Ba: 0.998 0.002 0.250
Na: 0.249 0.249 0.500
Na: 0.751 0.751 0.000
Sr: 0.004 0.502 0.253
Sr: 0.494 0.506 0.250
Sr: 0.498 0.996 0.247
Sr: 0.502 0.004 0.747
Sr: 0.506 0.494 0.750
Sr: 0.996 0.498 0.753
Sb: 0.252 0.252 0.000
Sb: 0.253 0.745 0.500
Sb: 0.255 0.747 0.000
Sb: 0.745 0.253 0.500
Sb: 0.747 0.255 0.000
Sb: 0.748 0.748 0.500
O: 0.001 0.742 0.535
O: 0.024 0.738 0.970
O: 0.218 0.286 0.771
O: 0.222 0.778 0.250
O: 0.247 0.516 0.463
O: 0.256 0.499 0.043
O: 0.258 0.999 0.965
O: 0.262 0.976 0.530
O: 0.286 0.218 0.229
O: 0.289 0.711 0.750
O: 0.484 0.753 0.037
O: 0.499 0.256 0.957
O: 0.501 0.744 0.457
O: 0.516 0.247 0.537
O: 0.711 0.289 0.250
O: 0.714 0.782 0.729
O: 0.738 0.024 0.030
O: 0.742 0.001 0.465
O: 0.744 0.501 0.543
O: 0.753 0.484 0.963
O: 0.778 0.222 0.750
O: 0.782 0.714 0.271
O: 0.976 0.262 0.470
O: 0.999 0.258 0.035

## Properties
Uncorrected energy (eV per atom): -17.22
Symmetry: C222_1
Uncorrected formation energy (eV/atom): -2.360

No. 7
Material: KMn2Pt
Method: DFT, meta-GGA SCAN
State: PBEsol geometry

Lattice parameters (Å, degrees): 4.283 4.283 3.880 90.00 90.00 90.00
Fractional positions:
K: 0.000 0.000 0.000
Mn: 0.000 0.500 0.500
Mn: 0.500 0.000 0.500
Pt: 0.500 0.500 0.000

## Properties
Uncorrected energy (eV per atom): -28.37
Symmetry: P4/mmm

No. 8
Material: CaMg2
Method: DFT, meta-GGA SCAN
State: PBEsol geometry

Lattice parameters (Å, degrees): 6.164 6.164 6.164 60.00 60.00 60.00
Fractional positions:
Ca: 0.125 0.125 0.125
Ca: 0.875 0.875 0.875
Mg: 0.000 0.500 0.500
Mg: 0.500 0.000 0.500
Mg: 0.500 0.500 0.000
Mg: 0.500 0.500 0.500

## Properties
Uncorrected energy (eV per atom): -6.65
Symmetry: Fd-3m

No. 9
Material: FeCuPt3
Method: DFT, meta-GGA SCAN
State: PBEsol geometry

Lattice parameters (Å, degrees): 4.461 4.461 4.461 90.00 90.00 90.00
Fractional positions:
Fe: 0.000 0.000 0.000
Cu: 0.500 0.500 0.500
Pt: 0.000 0.500 0.500
Pt: 0.500 0.000 0.500
Pt: 0.500 0.500 0.000

## Properties
Uncorrected energy (eV per atom): -47.67
Symmetry: Pm-3m

No. 10
Material: SrBe2Mo
Method: DFT, meta-GGA SCAN
State: PBEsol geometry

Lattice parameters (Å, degrees): 4.455 4.455 6.062 100.03 100.03 36.29
Fractional positions:
Sr: 0.000 0.000 0.000
Be: 0.241 0.241 0.633
Be: 0.759 0.759 0.367
Mo: 0.500 0.500 0.500

## Properties
Uncorrected energy (eV per atom): -15.81
Symmetry: C2/m

No. 11
Material: La2SiHg
Method: DFT, meta-GGA SCAN
State: PBEsol geometry

Lattice parameters (Å, degrees): 3.733 5.030 6.287 90.00 90.00 90.00
Fractional positions:
La: 0.000 0.000 0.000
La: 0.500 0.500 0.500
Si: 0.000 0.000 0.500
Hg: 0.500 0.500 0.000

## Properties
Uncorrected energy (eV per atom): -41.54
Symmetry: Pmmm
Uncorrected formation energy (eV/atom): -0.446

No. 12
Material: ZnCuNi2
Method: DFT, meta-GGA SCAN
State: PBEsol geometry

Lattice parameters (Å, degrees): 3.979 3.979 3.979 60.00 60.00 60.00
Fractional positions:
Zn: 0.000 0.000 0.000
Cu: 0.750 0.750 0.750
Ni: 0.250 0.250 0.250
Ni: 0.500 0.500 0.500

## Properties
Uncorrected energy (eV per atom): -15.29
Symmetry: F-43m

| no. | V (Å³/cell) |
| --- | --- |
| 1 | 136 |
| 2 | 72 |
| 3 | 77 |
| 4 | 52 |
| 5 | 124 |
| 6 | 545 |
| 7 | 71 |
| 8 | 166 |
| 9 | 89 |
| 10 | 70 |
| 11 | 118 |
| 12 | 45 |